! Nd3PuH | Alexandria | PBE | optimized geometry; values from VASP
&SYSTEM
  ibrav = 0, nat = 5, ntyp = 3
/
ATOMIC_SPECIES
Nd 144.24 Nd.upf
Pu 244.00 Pu.upf
H 1.01 H.upf
CELL_PARAMETERS angstrom
5.093 0.000 0.000
0.000 5.093 0.000
0.000 0.000 5.093
ATOMIC_POSITIONS angstrom
Nd 0.000 0.000 2.546
Nd 0.000 2.546 0.000
Nd 2.546 0.000 0.000
Pu 2.546 2.546 2.546
H 0.000 0.000 0.000
! Total magnetization (Bohr magnetons per cell): 6.2
! Uncorrected energy (eV per cell): -32.31


! Nd3Pu5H12 | Alexandria | PBE | optimized geometry; values from VASP
&SYSTEM
  ibrav = 0, nat = 80, ntyp = 3
/
ATOMIC_SPECIES
Nd 144.24 Nd.upf
Pu 244.00 Pu.upf
H 1.01 H.upf
CELL_PARAMETERS angstrom
-6.636 6.636 6.636
6.636 -6.636 6.636
6.636 6.636 -6.636
ATOMIC_POSITIONS angstrom
Nd 3.318 1.659 0.000
Nd 6.636 3.318 -1.659
Nd 1.659 0.000 3.318
Nd 8.295 0.000 3.318
Nd 0.000 3.318 1.659
Nd 3.318 -1.659 6.636
Nd 3.318 8.295 0.000
Nd 6.636 3.318 4.977
Nd -1.659 6.636 3.318
Nd 4.977 6.636 3.318
Nd 0.000 3.318 8.295
Nd 3.318 4.977 6.636
Pu 0.000 0.000 0.000
Pu 3.318 3.318 -3.318
Pu 3.318 -3.318 3.318
Pu 6.636 0.000 0.000
Pu 9.955 1.659 0.000
Pu 6.636 -3.318 4.977
Pu 4.977 6.636 -3.318
Pu 4.977 0.000 3.318
Pu 3.318 4.977 0.000
Pu 6.636 3.318 1.659
Pu -3.318 3.318 3.318
Pu 0.000 6.636 0.000
Pu 0.000 0.000 6.636
Pu 3.318 3.318 3.318
Pu 0.000 3.318 4.977
Pu 3.318 1.659 6.636
Pu 1.659 6.636 3.318
Pu 1.659 0.000 9.955
Pu 0.000 9.955 1.659
Pu -3.318 4.977 6.636
H 2.028 -0.076 0.955
H 7.927 4.273 -3.394
H 8.664 0.076 0.955
H 7.927 -2.363 3.394
H 6.560 -0.955 2.028
H 10.031 -1.291 2.363
H 0.955 2.028 -0.076
H 9.000 3.242 -1.291
H 4.273 3.394 -1.291
H 5.682 2.028 0.076
H -0.076 0.955 2.028
H 3.394 -1.291 4.273
H 6.560 5.682 -2.028
H 3.394 1.291 2.363
H 4.273 -3.394 7.927
H 5.682 -2.028 6.560
H 2.363 3.394 1.291
H 7.591 4.609 0.076
H 3.394 7.927 -2.363
H 6.560 0.955 4.609
H 2.028 6.560 -0.955
H 7.927 2.363 3.242
H 1.291 2.363 3.394
H 2.028 0.076 5.682
H 4.609 6.560 0.955
H 5.346 4.273 3.242
H -1.291 4.273 3.394
H 4.609 0.076 7.591
H 0.076 5.682 2.028
H 3.242 -1.291 9.000
H -0.955 2.028 6.560
H 4.273 3.242 5.346
H 0.955 8.664 0.076
H 2.363 10.031 -1.291
H 3.242 5.346 4.273
H 0.076 0.955 8.664
H 3.242 7.927 2.363
H 6.713 5.682 4.609
H 0.955 4.609 6.560
H 2.363 3.242 7.927
H -2.363 3.394 7.927
H 5.682 4.609 6.713
H -3.394 7.927 4.273
H 0.076 7.591 4.609
H -1.291 9.000 3.242
H -2.028 6.560 5.682
H -1.291 2.363 10.031
H 4.609 6.713 5.682
! Total magnetization (Bohr magnetons per cell): 28.0
! Uncorrected energy (eV per cell): -523.53


! NdPuHS2 | Alexandria | PBE | optimized geometry; values from VASP
&SYSTEM
  ibrav = 0, nat = 10, ntyp = 4
/
ATOMIC_SPECIES
Nd 144.24 Nd.upf
Pu 244.00 Pu.upf
H 1.01 H.upf
S 32.06 S.upf
CELL_PARAMETERS angstrom
4.007 0.000 0.000
0.000 4.007 0.000
0.000 0.000 11.920
ATOMIC_POSITIONS angstrom
Nd 1.002 1.002 1.405
Nd 3.005 3.005 10.515
Pu 1.002 1.002 7.167
Pu 3.005 3.005 4.752
H 1.002 3.005 5.960
H 3.005 1.002 5.960
S 1.002 1.002 4.164
S 1.002 1.002 10.359
S 3.005 3.005 1.561
S 3.005 3.005 7.756
! Total magnetization (Bohr magnetons per cell): 10.5
! Uncorrected energy (eV per cell): -76.46


! Nd2Pu2Sb2H | Alexandria | PBE | optimized geometry; values from VASP
&SYSTEM
  ibrav = 0, nat = 7, ntyp = 4
/
ATOMIC_SPECIES
Nd 144.24 Nd.upf
Pu 244.00 Pu.upf
Sb 121.76 Sb.upf
H 1.01 H.upf
CELL_PARAMETERS angstrom
-2.262 2.262 8.702
2.262 -2.262 8.702
2.262 2.262 -8.702
ATOMIC_POSITIONS angstrom
Nd 0.000 0.000 3.059
Nd 0.000 0.000 14.344
Pu 2.262 0.000 0.000
Pu 0.000 2.262 0.000
Sb 0.000 0.000 6.309
Sb 0.000 0.000 11.094
H 0.000 0.000 0.000
! Total magnetization (Bohr magnetons per cell): 12.2
! Uncorrected energy (eV per cell): -54.99


! NdPuHSe2 | Alexandria | PBE | optimized geometry; values from VASP
&SYSTEM
  ibrav = 0, nat = 10, ntyp = 4
/
ATOMIC_SPECIES
Nd 144.24 Nd.upf
Pu 244.00 Pu.upf
H 1.01 H.upf
Se 78.96 Se.upf
CELL_PARAMETERS angstrom
4.139 0.000 0.000
0.000 4.139 0.000
0.000 0.000 12.625
ATOMIC_POSITIONS angstrom
Nd 1.035 1.035 1.421
Nd 3.105 3.105 11.204
Pu 1.035 1.035 7.448
Pu 3.105 3.105 5.177
H 1.035 3.105 6.313
H 3.105 1.035 6.313
Se 1.035 1.035 4.351
Se 1.035 1.035 10.976
Se 3.105 3.105 1.649
Se 3.105 3.105 8.274
! Total magnetization (Bohr magnetons per cell): 10.6
! Uncorrected energy (eV per cell): -72.49


! NdPuTe2H | Alexandria | PBE | optimized geometry; values from VASP
&SYSTEM
  ibrav = 0, nat = 10, ntyp = 4
/
ATOMIC_SPECIES
Nd 144.24 Nd.upf
Pu 244.00 Pu.upf
Te 127.60 Te.upf
H 1.01 H.upf
CELL_PARAMETERS angstrom
4.329 0.000 0.000
0.000 4.329 0.000
0.000 0.000 13.683
ATOMIC_POSITIONS angstrom
Nd 1.082 1.082 1.367
Nd 3.246 3.246 12.315
Pu 1.082 1.082 7.859
Pu 3.246 3.246 5.823
Te 1.082 1.082 4.630
Te 1.082 1.082 11.807
Te 3.246 3.246 1.875
Te 3.246 3.246 9.053
H 1.082 3.246 6.841
H 3.246 1.082 6.841
! Total magnetization (Bohr magnetons per cell): 10.6
! Uncorrected energy (eV per cell): -67.97


! RbNd2H | Alexandria | PBE | optimized geometry; values from VASP
&SYSTEM
  ibrav = 0, nat = 4, ntyp = 3
/
ATOMIC_SPECIES
Rb 85.47 Rb.upf
Nd 144.24 Nd.upf
H 1.01 H.upf
CELL_PARAMETERS angstrom
1.891 1.092 10.612
-1.891 1.092 10.612
0.000 -2.183 10.612
ATOMIC_POSITIONS angstrom
Rb 0.000 0.000 0.000
Nd 0.000 0.000 3.925
Nd 0.000 0.000 27.912
H 0.000 0.000 15.918
! Total magnetization (Bohr magnetons per cell): 0.0
! Uncorrected energy (eV per cell): -13.58


! NdRe2H7 | Alexandria | PBE | optimized geometry; values from VASP
&SYSTEM
  ibrav = 0, nat = 10, ntyp = 3
/
ATOMIC_SPECIES
Nd 144.24 Nd.upf
Re 186.21 Re.upf
H 1.01 H.upf
CELL_PARAMETERS angstrom
2.673 -4.722 0.000
2.673 4.722 0.000
0.000 0.000 3.356
ATOMIC_POSITIONS angstrom
Nd 0.000 0.000 0.000
Re 2.673 1.781 1.678
Re 2.673 -1.781 1.678
H 0.939 1.358 1.678
H 0.939 -1.358 1.678
H 2.673 1.146 0.000
H 2.673 0.000 1.678
H 2.673 -1.146 0.000
H 4.407 1.358 1.678
H 4.407 -1.358 1.678
! Total magnetization (Bohr magnetons per cell): 0.0
! Uncorrected energy (eV per cell): -52.72


! NdReH5 | Alexandria | PBE | optimized geometry; values from VASP
&SYSTEM
  ibrav = 0, nat = 7, ntyp = 3
/
ATOMIC_SPECIES
Nd 144.24 Nd.upf
Re 186.21 Re.upf
H 1.01 H.upf
CELL_PARAMETERS angstrom
-2.714 3.566 1.951
2.714 -3.566 1.951
2.714 3.566 -1.951
ATOMIC_POSITIONS angstrom
Nd 0.000 0.000 0.000
Re 2.714 0.000 1.839
H 2.714 -1.479 1.048
H 2.714 1.479 1.048
H 1.713 3.566 -0.014
H 1.002 0.000 1.937
H 0.000 3.566 1.822
! Total magnetization (Bohr magnetons per cell): 0.4
! Uncorrected energy (eV per cell): -33.96


! NdH6Rh | Alexandria | PBE | optimized geometry; values from VASP
&SYSTEM
  ibrav = 0, nat = 8, ntyp = 3
/
ATOMIC_SPECIES
Nd 144.24 Nd.upf
H 1.01 H.upf
Rh 102.91 Rh.upf
CELL_PARAMETERS angstrom
2.277 1.315 3.877
-2.277 1.315 3.877
0.000 -2.629 3.877
ATOMIC_POSITIONS angstrom
Nd 0.000 0.000 0.000
H -1.202 -0.694 4.915
H 0.000 -1.387 6.717
H -1.202 0.694 6.717
H 1.202 -0.694 4.915
H 0.000 1.387 4.915
H 1.202 0.694 6.717
Rh 0.000 0.000 5.816
! Total magnetization (Bohr magnetons per cell): 0.0
! Uncorrected energy (eV per cell): -35.56


! NdH4Rh3 | Alexandria | PBE | optimized geometry; values from VASP
&SYSTEM
  ibrav = 0, nat = 16, ntyp = 3
/
ATOMIC_SPECIES
Nd 144.24 Nd.upf
H 1.01 H.upf
Rh 102.91 Rh.upf
CELL_PARAMETERS angstrom
5.480 0.000 0.000
0.000 5.480 0.000
0.000 0.000 5.480
ATOMIC_POSITIONS angstrom
Nd 0.000 0.000 0.000
Nd 2.740 2.740 2.740
H 1.370 1.370 1.370
H 1.370 1.370 4.110
H 1.370 4.110 1.370
H 1.370 4.110 4.110
H 4.110 1.370 1.370
H 4.110 1.370 4.110
H 4.110 4.110 1.370
H 4.110 4.110 4.110
Rh 0.000 1.370 2.740
Rh 0.000 4.110 2.740
Rh 1.370 2.740 0.000
Rh 2.740 0.000 1.370
Rh 2.740 0.000 4.110
Rh 4.110 2.740 0.000
! Total magnetization (Bohr magnetons per cell): 0.0
! Uncorrected energy (eV per cell): -84.32


! Nd2H7Rh2 | Alexandria | PBE | optimized geometry; values from VASP
&SYSTEM
  ibrav = 0, nat = 11, ntyp = 3
/
ATOMIC_SPECIES
Nd 144.24 Nd.upf
H 1.01 H.upf
Rh 102.91 Rh.upf
CELL_PARAMETERS angstrom
3.315 -4.706 0.000
3.315 4.706 0.000
0.000 0.000 3.558
ATOMIC_POSITIONS angstrom
Nd 3.315 2.479 0.000
Nd 3.315 -2.479 0.000
H 0.000 0.000 1.779
H 1.886 1.645 1.779
H 1.873 0.000 0.000
H 1.886 -1.645 1.779
H 4.744 1.645 1.779
H 4.757 0.000 0.000
H 4.744 -1.645 1.779
Rh 1.802 0.000 1.779
Rh 4.829 0.000 1.779
! Total magnetization (Bohr magnetons per cell): 0.3
! Uncorrected energy (eV per cell): -52.10